Compound: Nb2CrCd
Source: the Alexandria database
Functional: PBE
Structure: relaxed

Output
Magnetic moment   0.000 μB per formula unit
Space-group type   P4/mmm
Energy relative to the elements   0.160 eV/atom

extended XYZ file:
```
4
Lattice="3.1236 0.0000 0.0000 0.0000 3.1236 0.0000 0.0000 0.0000 7.1154" Properties=species:S:1:pos:R:3 pbc="T T T"
Nb 0.0000 0.0000 1.4741
Nb 0.0000 0.0000 5.6413
Cr 1.5618 1.5618 0.0000
Cd 1.5618 1.5618 3.5577
```

***

Compound: Nb2CrCd
Source: the Alexandria database
Functional: PBE
Structure: relaxed

Output
Magnetic moment   2.497 μB per formula unit
Space-group type   I-42d
Energy relative to the elements   0.775 eV/atom

extended XYZ file:
```
16
Lattice="3.9005 0.0000 0.0000 0.0000 3.9005 0.0000 0.0000 0.0000 20.2329" Properties=species:S:1:pos:R:3 pbc="T T T"
Nb 0.9340 0.9751 2.5291
Nb 0.9751 2.8842 7.5873
Nb 0.9751 2.9665 17.7038
Nb 1.0162 0.9751 12.6456
Nb 2.8842 2.9253 12.6456
Nb 2.9253 0.9340 17.7038
Nb 2.9253 1.0162 7.5873
Nb 2.9665 2.9253 2.5291
Cr 0.0000 0.0000 0.0000
Cr 0.0000 1.9502 5.0582
Cr 1.9502 0.0000 15.1747
Cr 1.9502 1.9502 10.1165
Cd 0.0000 0.0000 10.1165
Cd 0.0000 1.9502 15.1747
Cd 1.9502 0.0000 5.0582
Cd 1.9502 1.9502 0.0000
```

***

Number 1: volume 17.36 Å³ per atom. Number 2: volume 19.24 Å³ per atom.